1.
LiFeF3 PBEsol optimized geometry; polymorph energy (0 for the lowest one) = 22 meV per atom; formation energy from raw total energies = -2238 meV per atom; space group = No. 63
1.0
-1.532 -2.259 0.453
4.738 -1.442 0.383
-0.116 1.487 7.021
F Li Fe
6 2 2
Direct
0.359 0.719 0.572 F
0.359 0.719 0.928 F
0.095 0.189 0.750 F
0.641 0.281 0.072 F
0.641 0.281 0.428 F
0.905 0.811 0.250 F
0.000 0.000 0.000 Li
0.000 0.000 0.500 Li
0.755 0.510 0.750 Fe
0.245 0.490 0.250 Fe


2.
ZnHg3 PBEsol optimized geometry; calculated formation energy = 56.5 meV/atom; polymorph energy (0 for the lowest one) = 9 meV per atom; space group = No. 59
1.0
-1.532 3.325 0.587
-5.241 -2.147 -1.521
-1.394 -1.984 7.604
Zn Hg
2 6
Direct
0.000 0.000 0.347 Zn
0.500 0.500 0.653 Zn
0.500 0.749 0.146 Hg
0.500 0.000 0.598 Hg
0.000 0.249 0.854 Hg
0.000 0.751 0.854 Hg
0.000 0.500 0.402 Hg
0.500 0.251 0.146 Hg


3.
NbTc2BiRh PBEsol optimized geometry; calculated formation energy = 1901.6 meV/atom; space group = No. 123
1.0
4.584 0.000 0.000
0.000 4.584 0.000
0.000 0.000 5.245
Tc Nb Rh Bi
2 1 1 1
Direct
0.500 0.000 0.000 Tc
0.000 0.500 0.000 Tc
0.000 0.000 0.000 Nb
0.500 0.500 0.500 Rh
0.000 0.000 0.500 Bi


4.
TiGeTe2 PBEsol optimized geometry; formation energy from raw total energies = 59 meV per atom; space group = No. 122
1.0
-3.641 -4.891 2.070
1.576 -3.392 -5.242
5.959 1.754 4.611
Ge Ti Te
2 2 4
Direct
0.250 0.750 0.500 Ge
0.000 0.000 0.000 Ge
0.500 0.500 0.000 Ti
0.750 0.250 0.500 Ti
0.855 0.375 0.250 Te
0.125 0.145 0.750 Te
0.625 0.605 0.750 Te
0.395 0.875 0.250 Te


5.
NaCu2SI PBEsol optimized geometry; formation energy from raw total energies = 1040 meV per atom; space group = No. 123
1.0
4.564 0.000 0.000
0.000 5.019 0.000
0.000 0.000 5.019
Na Cu S I
1 2 1 1
Direct
0.000 0.000 0.000 Na
0.000 0.000 0.500 Cu
0.000 0.500 0.000 Cu
0.500 0.000 0.000 S
0.500 0.500 0.500 I


6.
LaTcP2 PBEsol optimized geometry; calculated formation energy = 146.0 meV/atom; polymorph energy (0 for the lowest one) = 1109 meV per atom; space group = No. 216
1.0
-0.356 -3.741 2.683
-1.568 -3.968 -1.767
2.882 -3.557 -0.604
P Tc La
2 1 1
Direct
0.750 0.750 0.750 P
0.000 0.000 0.000 P
0.250 0.250 0.250 Tc
0.500 0.500 0.500 La


no.,total energy (eV/atom)
1,-5.5806
2,-0.7641
3,-7.2540
4,-5.0195
5,-2.2042
6,-6.9029